The following is a DFT calculation (PBE with a Hubbard U) of a relaxed Ca2MnNbO6 crystal.

```
Ca2MnNbO6
1.0
4.733 -2.771 0.000
4.733 2.771 0.000
-3.174 0.000 4.519
Ca Mn Nb O
2 1 1 6
Cartesian
1.620 0.000 1.042
4.672 0.000 3.477
4.733 0.000 0.000
-1.587 0.000 2.259
3.630 1.381 0.896
0.296 0.000 2.977
2.662 1.381 3.623
3.630 -1.381 0.896
5.996 0.000 1.542
2.662 -1.381 3.623
```

Output
Crystal system   monoclinic
Calculated volume   11.851 A^3/atom
E above lowest polymorph   120 meV/atom